1.
Here is a relaxed structure of Y2AlIn from Alexandria. Energies are from GGA-PBEsol.

Uncorrected energy ... -0.3794 Ry per atom
Formation enthalpy at 0 K ... 18 meV per atom

a b c (Å): 5.158 5.158 5.158
angles (deg): 60.00 60.00 60.00
Atoms (fractional coordinates):
In 0.250 0.250 0.250
Al 0.500 0.500 0.500
Y 0.750 0.750 0.750
Y 0.000 0.000 0.000


2.
Here is a relaxed structure of YCrRu from Alexandria. Energies are from GGA-PBEsol.

Uncorrected energy ... -0.5748 Ry per atom
Energy above the lowest structure with this stoichiometry ... 211.8 kJ/mol of formula units
Formation enthalpy at 0 K ... 1259 meV per atom

a b c (Å): 4.437 4.437 4.437
angles (deg): 60.00 60.00 60.00
Each line ends with the local moment (μB).
Atoms (fractional coordinates):
Y 0.250 0.250 0.250  0.20
Ru 0.500 0.500 0.500  -0.04
Cr 0.000 0.000 0.000  3.47


Q: Among the records above, which one has the highest formation enthalpy at 0 K?
A: YCrRu